Density functional theory data (PBE-GGA) for crystalline ErAgGeS3 at its relaxed geometry.

Structure (CIF):
```
data_ErAgGeS3
_chemical_formula_sum 'Er4 Ag4 Ge4 S12'
_cell_length_a 3.850
_cell_length_b 12.564
_cell_length_c 10.461
_cell_angle_alpha 90.00
_cell_angle_beta 90.00
_cell_angle_gamma 90.00
_symmetry_space_group_name_H-M 'C m c m'
_symmetry_Int_Tables_number 63
_symmetry_space_group_name_Hall '-C 2c 2'
loop_
_atom_site_label
_atom_site_type_symbol
_atom_site_fract_x
_atom_site_fract_y
_atom_site_fract_z
Er1 Er 0.000 0.000 0.000
Ag1 Ag 0.000 0.470 0.250
Ge1 Ge 0.000 0.245 0.750
S1 S 0.000 0.108 0.250
S2 S 0.000 0.356 0.060
```

Summary:
Crystal system: orthorhombic
Uncorrected energy, Ry per atom: -0.35714